(1)
A geometry-optimized Ga4Re structure. Source: OQMD via LeMat-Bulk, functional PBE-GGA.

Volume (Å³/atom): 19.45
Total moment (μB/cell): 0.01

Structure (CIF):
```
data_Ga4Re
_space_group_name_H-M_alt 'I m -3 m'
_space_group_IT_number 229
_space_group_name_Hall '-I 4 2 3'
_cell_length_a 5.794
_cell_length_b 5.794
_cell_length_c 5.794
_cell_angle_alpha 90.00
_cell_angle_beta 90.00
_cell_angle_gamma 90.00
loop_
_atom_site_label
_atom_site_type_symbol
_atom_site_fract_x
_atom_site_fract_y
_atom_site_fract_z
Ga1 Ga 0.250 0.250 0.250
Re1 Re 0.000 0.000 0.000
```

(2)
A geometry-optimized Ga5Re2 structure. Source: OQMD via LeMat-Bulk, functional PBE-GGA.

Volume (Å³/atom): 15.73
Total moment (μB/cell): 0.00

Structure (CIF):
```
data_Ga5Re2
_space_group_name_H-M_alt 'P 4/m b m'
_space_group_IT_number 127
_space_group_name_Hall '-P 4 2ab'
_cell_length_a 9.007
_cell_length_b 9.007
_cell_length_c 2.714
_cell_angle_alpha 90.00
_cell_angle_beta 90.00
_cell_angle_gamma 90.00
loop_
_atom_site_label
_atom_site_type_symbol
_atom_site_fract_x
_atom_site_fract_y
_atom_site_fract_z
Ga1 Ga 0.000 0.500 0.000
Ga2 Ga 0.061 0.199 0.000
Re1 Re 0.178 0.678 0.500
```

Calculated values (eV/atom) of total energy for the records, taken in order: -5.021; -5.616.